A | Compound: Li7N2F
Source: Alexandria via LeMat-Bulk
Functional: PBE-GGA
Structure: optimized geometry

Geometry as POSCAR:
```
Li7N2F
1.0
1.7732 1.0238 9.7707
-1.7732 1.0238 9.7707
0.0000 -2.0476 9.7707
Li N F
7 2 1
Cartesian
0.0000 0.0000 0.0000
0.0000 0.0000 3.8810
0.0000 0.0000 8.1053
0.0000 0.0000 11.9867
0.0000 0.0000 17.3253
0.0000 0.0000 21.2068
0.0000 0.0000 25.4310
0.0000 0.0000 1.9482
0.0000 0.0000 27.3638
0.0000 0.0000 14.6560
```

Summary:
SG: R-3m (166)

B | Compound: Li7N2F
Source: Alexandria via LeMat-Bulk
Functional: PBE-GGA
Structure: optimized geometry

Geometry as POSCAR:
```
Li7N2F
1.0
3.2407 -5.0368 0.0000
3.2407 5.0368 0.0000
0.0000 0.0000 3.7383
Li N F
7 2 1
Cartesian
0.0000 0.0000 0.0000
2.0288 1.4939 0.0000
3.2407 3.0812 1.8691
2.0288 -1.4939 0.0000
4.4527 1.4939 0.0000
3.2407 -3.0812 1.8691
4.4527 -1.4939 0.0000
3.2407 3.1285 0.0000
3.2407 -3.1285 0.0000
3.2407 0.0000 1.8691
```

Summary:
SG: Cmmm (65)

Going by the computed energies, the most stable comes first: A, B.

A | Compound: NaLiNF2
Source: Alexandria via LeMat-Bulk
Functional: PBE-GGA
Structure: optimized geometry

Geometry as POSCAR:
```
NaLiNF2
1.0
4.3246 0.0000 0.0000
0.0000 4.3246 0.0000
0.0000 0.0000 4.3878
Na Li N F
1 1 1 2
Cartesian
0.0000 0.0000 0.0000
2.1623 2.1623 2.1939
0.0000 0.0000 2.1939
0.0000 2.1623 0.0000
2.1623 0.0000 0.0000
```

Summary:
SG: P4/mmm (123)

B | Compound: NaLiNF2
Source: Alexandria via LeMat-Bulk
Functional: PBE-GGA
Structure: optimized geometry

Geometry as POSCAR:
```
NaLiNF2
1.0
3.9316 0.0000 0.0000
0.0000 3.9316 0.0000
0.0000 0.0000 3.9671
Na Li N F
1 1 1 2
Cartesian
0.0000 0.0000 0.0000
1.9658 1.9658 1.9835
1.9658 1.9658 0.0000
0.0000 1.9658 1.9835
1.9658 0.0000 1.9835
```

Summary:
SG: P4/mmm (123)

Going by the computed energies, the most stable comes first: B, A.

A | Compound: LiNbN2F
Source: Alexandria via LeMat-Bulk
Functional: PBE-GGA
Structure: optimized geometry

Geometry as POSCAR:
```
LiNbN2F
1.0
4.0459 0.0000 0.0000
0.0000 4.0459 0.0000
0.0000 0.0000 4.1956
Li Nb N F
1 1 2 1
Cartesian
0.0000 0.0000 0.0000
2.0229 2.0229 2.0978
0.0000 2.0229 2.0978
2.0229 0.0000 2.0978
2.0229 2.0229 0.0000
```

Summary:
Fermi-level density of states (states/eV/cell): 1.8
SG: P4/mmm (123)

B | Compound: LiNbN2F
Source: Alexandria via LeMat-Bulk
Functional: PBE-GGA
Structure: optimized geometry

Geometry as POSCAR:
```
LiNbN2F
1.0
3.6874 0.0000 0.0000
0.0000 3.6874 0.0000
0.0000 0.0000 3.2537
Li Nb N F
1 1 2 1
Cartesian
0.0000 0.0000 0.0000
1.8437 1.8437 1.6268
0.0000 1.8437 0.0000
1.8437 0.0000 0.0000
0.0000 0.0000 1.6268
```

Summary:
Fermi-level density of states (states/eV/cell): 1.5
SG: P4/mmm (123)

Going by the computed energies, the most stable comes first: A, B.